(1)
The following is a DFT calculation (PBE) of an optimized crystal structure of CsHoCu2I6.

Cell lengths 15.7799, 15.1310, 7.7410 Å; angles 90.00, 94.24, 90.00 degrees
With the nearest neighbours (Å) after each atom.
Space group C2/c (No. 15)
Symmetry-distinct sites (fractional):
Cs  0.0000  0.0790  0.2500 x4  6 I 3.73-3.95
Ho  0.0000  0.2766  0.7500 x4  6 I 2.96-3.15
Cu  0.0857  0.4321  0.2685 x8  3 I 2.56-2.58, 1 Cu 2.70
I  0.1091  0.2929  0.0896 x8  1 Cu 2.56
I  0.1144  0.4247  0.6009 x8  2 Cu 2.58
I  0.1245  0.1412  0.6607 x8  1 Ho 2.96

Calculated values
ΔE_f (raw) (eV/atom): -0.882
E (eV per atom): -3.174

(2)
The following is a DFT calculation (PBE) of an optimized crystal structure of BaTlBr2.

Cell lengths 4.8875, 4.8875, 29.6945 Å; angles 90.00, 90.00, 120.00 degrees
With the nearest neighbours (Å) after each atom.
Space group R-3m (No. 166, hexagonal axes)
Symmetry-distinct sites (fractional):
Ba  0.0000  0.0000  0.0000 x3  2 Br 3.09
Tl  0.0000  0.0000  0.5000 x3  6 Br 3.38
Br  0.0000  0.0000  0.1041 x6  1 Ba 3.09, 3 Tl 3.38

Calculated values
Distance to the lowest polymorph of the same formula (meV per atom): 276
ΔE_f (raw) (eV/atom): -1.057
E (eV per atom): -2.966

(3)
The following is a DFT calculation (PBE) of an optimized crystal structure of KZnSb2I.

Cell lengths 7.6675, 7.6675, 6.4682 Å; angles 90.00, 90.00, 90.00 degrees
With the nearest neighbours (Å) after each atom.
Space group P4/mmm (No. 123)
Symmetry-distinct sites (fractional):
K  0.0000  0.0000  0.0000 x1  2 I 3.23
Zn  0.5000  0.5000  0.5000 x1  8 Sb 5.02, 4 I 5.42
Sb  0.0000  0.5000  0.0000 x2  2 K 3.83
I  0.0000  0.0000  0.5000 x1  2 K 3.23

Calculated values
Distance to the lowest polymorph of the same formula (meV per atom): 871
ΔE_f (raw) (eV/atom): 0.824
E (eV per atom): -1.609